# 1
Material: Na2H2OF2
Method: DFT, PBE
State: optimized geometry

## Properties
DFT total energy in eV/cell: -30.146

Cell and atoms, written as CIF:
```
data_Na2H2OF2
_chemical_formula_sum 'Na2 H2 O1 F2'
_symmetry_space_group_name_H-M 'P 1'
_symmetry_Int_Tables_number 1
_cell_length_a 4.5917
_cell_length_b 4.5917
_cell_length_c 6.4673
_cell_angle_alpha 121.89
_cell_angle_beta 121.89
_cell_angle_gamma 38.71
loop_
_symmetry_equiv_pos_as_xyz
'x,y,z'
loop_
_atom_site_label
_atom_site_fract_x
_atom_site_fract_y
_atom_site_fract_z
Na1 0.0329 0.0329 0.3202
Na2 0.9671 0.9671 0.6798
H1 0.3645 0.3645 0.8843
H2 0.6355 0.6355 0.1157
O1 0.5000 0.5000 0.0000
F1 0.3120 0.3120 0.3276
F2 0.6880 0.6880 0.6724
```



# 2
Material: NaHO2F
Method: DFT, PBE
State: optimized geometry

## Properties
DFT total energy in eV/cell: -18.199

Cell and atoms, written as CIF:
```
data_NaHO2F
_chemical_formula_sum 'Na1 H1 O2 F1'
_symmetry_space_group_name_H-M 'P 1'
_symmetry_Int_Tables_number 1
_cell_length_a 2.9640
_cell_length_b 2.9640
_cell_length_c 5.8323
_cell_angle_alpha 90.00
_cell_angle_beta 90.00
_cell_angle_gamma 90.00
loop_
_symmetry_equiv_pos_as_xyz
'x,y,z'
loop_
_atom_site_label
_atom_site_fract_x
_atom_site_fract_y
_atom_site_fract_z
Na1 0.0000 0.0000 0.0000
H1 0.5000 0.5000 0.5000
O1 0.0000 0.5000 0.5000
O2 0.5000 0.0000 0.5000
F1 0.5000 0.5000 0.0000
```



# 3
Material: NaH2PbF8
Method: DFT, PBE
State: optimized geometry

## Properties
DFT total energy in eV/cell: -46.965

Cell and atoms, written as CIF:
```
data_NaH2PbF8
_chemical_formula_sum 'Na1 H2 Pb1 F8'
_symmetry_space_group_name_H-M 'P 1'
_symmetry_Int_Tables_number 1
_cell_length_a 4.2418
_cell_length_b 4.7635
_cell_length_c 8.2098
_cell_angle_alpha 89.45
_cell_angle_beta 89.90
_cell_angle_gamma 67.40
loop_
_symmetry_equiv_pos_as_xyz
'x,y,z'
loop_
_atom_site_label
_atom_site_fract_x
_atom_site_fract_y
_atom_site_fract_z
Na1 0.0000 0.0000 0.0000
H1 0.4883 0.5015 0.7135
H2 0.5117 0.4985 0.2865
Pb1 0.0000 0.0000 0.5000
F1 0.2447 0.7380 0.2888
F2 0.2595 0.7063 0.7170
F3 0.2814 0.2635 0.4948
F4 0.3871 0.2270 0.9961
F5 0.6129 0.7730 0.0039
F6 0.7186 0.7365 0.5052
F7 0.7405 0.2937 0.2830
F8 0.7553 0.2620 0.7112
```



# 4
Material: Na2HPbF6
Method: DFT, PBE
State: optimized geometry

## Properties
DFT total energy in eV/cell: -86.397

Cell and atoms, written as CIF:
```
data_Na2HPbF6
_chemical_formula_sum 'Na4 H2 Pb2 F12'
_symmetry_space_group_name_H-M 'P 1'
_symmetry_Int_Tables_number 1
_cell_length_a 6.9884
_cell_length_b 6.9884
_cell_length_c 6.0003
_cell_angle_alpha 99.96
_cell_angle_beta 99.96
_cell_angle_gamma 76.48
loop_
_symmetry_equiv_pos_as_xyz
'x,y,z'
loop_
_atom_site_label
_atom_site_fract_x
_atom_site_fract_y
_atom_site_fract_z
Na1 0.1635 0.2830 0.0964
Na2 0.2830 0.1635 0.5964
Na3 0.7170 0.8365 0.4036
Na4 0.8365 0.7170 0.9036
H1 0.2227 0.7773 0.2500
H2 0.7773 0.2227 0.7500
Pb1 0.3364 0.6636 0.7500
Pb2 0.6636 0.3364 0.2500
F1 0.0161 0.7092 0.6187
F2 0.1424 0.6944 0.0927
F3 0.2908 0.9839 0.8813
F4 0.3056 0.8576 0.4073
F5 0.3659 0.3947 0.4092
F6 0.3947 0.3659 0.9092
F7 0.6053 0.6341 0.0908
F8 0.6341 0.6053 0.5908
F9 0.6944 0.1424 0.5927
F10 0.7092 0.0161 0.1187
F11 0.8576 0.3056 0.9073
F12 0.9839 0.2908 0.3813
```